Record 1
Ge2PdPt2 | PBE | optimized geometry Values from VASP.

Quantum ESPRESSO input file:
```
&SYSTEM
  ibrav = 0, nat = 5, ntyp = 3
/
ATOMIC_SPECIES
Ge 72.64 Ge.upf
Pd 106.42 Pd.upf
Pt 195.08 Pt.upf
CELL_PARAMETERS angstrom
-2.008 2.008 5.406
2.008 -2.008 5.406
2.008 2.008 -5.406
ATOMIC_POSITIONS crystal
Ge 0.110 0.110 0.000
Ge 0.890 0.890 0.000
Pd 0.500 0.500 0.000
Pt 0.250 0.750 0.500
Pt 0.750 0.250 0.500
```

## Properties
For the relative energy among the computed polymorphs, the calculation gives 0.119 eV per atom. The mass density comes out at 12.23 g cm⁻³. For the formation energy, the calculation gives -191 meV/atom. The volume is 17.4 A^3/atom.

Record 2
Ge2Pd2Pt3 | PBE | optimized geometry Values from VASP.

Quantum ESPRESSO input file:
```
&SYSTEM
  ibrav = 0, nat = 7, ntyp = 3
/
ATOMIC_SPECIES
Ge 72.64 Ge.upf
Pd 106.42 Pd.upf
Pt 195.08 Pt.upf
CELL_PARAMETERS angstrom
4.495 -1.911 0.000
4.495 1.911 0.000
-2.286 0.000 6.498
ATOMIC_POSITIONS crystal
Ge 0.171 0.171 0.214
Ge 0.829 0.829 0.786
Pd 0.140 0.140 0.793
Pd 0.860 0.860 0.207
Pt 0.379 0.379 0.567
Pt 0.500 0.500 0.000
Pt 0.621 0.621 0.433
```

## Properties
The mass density comes out at 14.03 g cm⁻³. For the formation energy, the calculation gives -343 meV/atom. The volume is 16.0 A^3/atom.